Here is a relaxed Ac2HoVO6 crystal from Alexandria. Energies are from PBE with a Hubbard U.

Computed properties:
E_tot	-8.120	eV per atom
SG	P2_1/c
density of states at the Fermi level	0.000	states/eV per atom

a b c (Å): 5.855 5.956 8.390
angles (deg): 90.00 89.58 90.00
Element x y z (fractional)
1 Ac 0.010 0.957 0.251
2 Ac 0.510 0.543 0.751
3 Ac 0.990 0.043 0.749
4 Ac 0.490 0.457 0.249
5 Ho 0.500 0.000 0.500
6 Ho 0.000 0.500 0.000
7 V 0.500 0.000 0.000
8 V 0.000 0.500 0.500
9 O 0.305 0.717 0.049
10 O 0.805 0.783 0.549
11 O 0.695 0.283 0.951
12 O 0.195 0.217 0.451
13 O 0.282 0.699 0.453
14 O 0.782 0.801 0.953
15 O 0.718 0.301 0.547
16 O 0.218 0.199 0.047
17 O 0.910 0.528 0.259
18 O 0.410 0.972 0.759
19 O 0.090 0.472 0.741
20 O 0.590 0.028 0.241